Entry 1:
The following is a PBE calculation of a geometry-optimized NaAl2Ga8 structure, from Alexandria.

a b c (Å): 4.4872 9.8719 7.2353
angles (deg): 46.98 83.36 80.25
With the nearest neighbours (Å) after each atom.
Positions (direct):
Ga: 0.5000 0.6302 0.7396  2 Al 2.53, 5 Ga 2.62-2.79
Al: 0.0000 0.7408 0.5183  4 Ga 2.53-2.66
Ga: 0.1608 0.6292 0.2708  1 Al 2.66, 5 Ga 2.72-2.86
Na: 0.5000 0.0000 0.0000  6 Ga 3.01-3.31
Ga: 0.3037 0.3073 0.0000  6 Ga 2.62-2.78
Al: 0.0000 0.2592 0.4817  4 Ga 2.53-2.66
Ga: 0.8392 0.3708 0.7292  1 Al 2.66, 5 Ga 2.72-2.86
Ga: 0.5000 0.3698 0.2604  2 Al 2.53, 5 Ga 2.62-2.79
Ga: 0.8392 0.1000 0.2708  1 Al 2.66, 5 Ga 2.72-2.86
Ga: 0.1608 0.9000 0.7292  1 Al 2.66, 5 Ga 2.72-2.86
Ga: 0.6963 0.6927 0.0000  6 Ga 2.62-2.78

- Energy of formation: 0.03 eV per atom

***

Entry 2:
The following is a PBE calculation of a geometry-optimized GaPtS2 structure, from Alexandria.

a b c (Å): 7.5105 7.5105 7.5105
angles (deg): 26.88 26.88 26.88
With the nearest neighbours (Å) after each atom.
Positions (direct):
Pt: 0.0000 0.0000 0.0000  2 S 2.26
S: 0.1039 0.1039 0.1039  1 Pt 2.26, 3 Ga 2.43
Ga: 0.5000 0.5000 0.5000  6 S 2.43
S: 0.8961 0.8961 0.8961  1 Pt 2.26, 3 Ga 2.43

- Formation energy from raw total energies: -0.20 eV/atom

***

Entry 3:
The following is a PBE calculation of a geometry-optimized V2CrSi4 structure, from Alexandria.

a b c (Å): 4.4052 4.4052 6.7197
angles (deg): 70.87 70.87 90.00
With the nearest neighbours (Å) after each atom.
Positions (direct):
V: 0.4015 0.4015 0.1970  1 V 2.35, 5 Si 2.47-2.50
Cr: 0.0000 0.0000 0.0000  6 Si 2.20-2.31
Si: 0.1942 0.1942 0.6117  1 Cr 2.31, 1 V 2.47
Si: 0.5000 0.0000 0.0000  2 Cr 2.20
Si: 0.0000 0.5000 0.0000  2 Cr 2.20
Si: 0.8058 0.8058 0.3883  1 Cr 2.31, 1 V 2.47
V: 0.5985 0.5985 0.8030  1 V 2.35, 5 Si 2.47-2.50

- Formation energy from raw total energies: 0.40 eV/atom

***

Entry 4:
The following is a PBE calculation of a geometry-optimized Er3Tl3VSe8 structure, from Alexandria.

a b c (Å): 8.0355 8.0361 9.0771
angles (deg): 116.28 90.01 119.99
With the nearest neighbours (Å) after each atom.
Positions (direct):
Se: 0.7354 0.4708 0.7062  3 Er 2.82
Se: 0.7825 0.0244 0.3069  1 V 2.61, 2 Er 2.85
Se: 0.7580 0.9755 0.6931  1 V 2.61, 2 Er 2.85
Se: 0.2420 0.0245 0.3069  1 V 2.61, 2 Er 2.85
Tl: 0.0000 0.5000 0.0000  6 Se 3.26-3.27
Se: 0.2646 0.5292 0.2938  3 Er 2.82
V: 0.0000 0.0000 0.5000  6 Se 2.61
Er: 0.5000 0.5000 0.5000  6 Se 2.82-2.85
Er: 0.0000 0.5000 0.5000  6 Se 2.82-2.85
Tl: 0.0000 0.0000 0.0000  6 Se 3.26-3.27
Se: 0.2175 0.4351 0.6930  1 V 2.61, 2 Er 2.85
Tl: 0.5000 0.5000 0.0000  6 Se 3.26-3.27
Se: 0.7825 0.5649 0.3070  1 V 2.61, 2 Er 2.85
Er: 0.5000 0.0000 0.5000  6 Se 2.82-2.85
Se: 0.2175 0.9756 0.6931  1 V 2.61, 2 Er 2.85

- Formation energy from raw total energies: -1.18 eV/atom

***

Entry 5:
The following is a PBE calculation of a geometry-optimized Li3MgGa4 structure, from Alexandria.

a b c (Å): 4.9715 5.7890 9.2668
angles (deg): 90.00 90.00 90.00
With the nearest neighbours (Å) after each atom.
Positions (direct):
Li: 0.6569 0.5000 0.7500  8 Ga 2.81-3.00, 2 Mg 2.88, 2 Li 2.90
Ga: 0.5000 0.7582 0.0000  4 Ga 2.80-2.99, 6 Li 2.85-2.87, 2 Mg 2.90
Ga: 0.1793 0.2414 0.7500  4 Ga 2.79-2.99, 6 Li 2.81-3.00, 2 Mg 2.90
Ga: 0.8207 0.2414 0.2500  4 Ga 2.79-2.99, 6 Li 2.81-3.00, 2 Mg 2.90
Li: 0.3431 0.5000 0.2500  8 Ga 2.81-3.00, 2 Mg 2.88, 2 Li 2.90
Li: 0.0000 0.0000 0.5000  2 Li 2.81, 8 Ga 2.85, 2 Mg 2.89
Li: 0.0000 0.0000 0.0000  2 Li 2.81, 8 Ga 2.85, 2 Mg 2.89
Li: 0.3209 0.0000 0.2500  4 Li 2.81-2.90, 8 Ga 2.85
Mg: 0.0000 0.5000 0.5000  4 Li 2.88-2.89, 8 Ga 2.90
Mg: 0.0000 0.5000 0.0000  4 Li 2.88-2.89, 8 Ga 2.90
Ga: 0.5000 0.2418 0.0000  4 Ga 2.80-2.99, 6 Li 2.85-2.87, 2 Mg 2.90
Li: 0.6791 0.0000 0.7500  4 Li 2.81-2.90, 8 Ga 2.85
Ga: 0.8207 0.7586 0.2500  4 Ga 2.79-2.99, 6 Li 2.81-3.00, 2 Mg 2.90
Ga: 0.5000 0.2418 0.5000  4 Ga 2.80-2.99, 6 Li 2.85-2.87, 2 Mg 2.90
Ga: 0.5000 0.7582 0.5000  4 Ga 2.80-2.99, 6 Li 2.85-2.87, 2 Mg 2.90
Ga: 0.1793 0.7586 0.7500  4 Ga 2.79-2.99, 6 Li 2.81-3.00, 2 Mg 2.90

- Energy of formation: -0.26 eV per atom
- E above lowest polymorph: 0 meV per atom

***

Entry 6:
The following is a PBE calculation of a geometry-optimized Y4Tm6Zr structure, from Alexandria.

a b c (Å): 8.7056 8.7056 8.7680
angles (deg): 90.00 90.00 90.00
With the nearest neighbours (Å) after each atom.
Positions (direct):
Tm: 0.8476 0.6502 0.0000  1 Zr 3.30, 6 Y 3.31-3.41, 2 Tm 3.65
Tm: 0.3476 0.8498 0.5000  1 Zr 3.30, 6 Y 3.31-3.41, 2 Tm 3.65
Tm: 0.0000 0.0000 0.1729  1 Zr 2.87, 1 Tm 3.03
Y: 0.8522 0.3522 0.2500  8 Tm 3.31-3.41, 1 Y 3.64
Y: 0.8522 0.3522 0.7500  8 Tm 3.31-3.41, 1 Y 3.64
Tm: 0.6502 0.1524 0.0000  1 Zr 3.30, 6 Y 3.31-3.41, 2 Tm 3.65
Y: 0.3522 0.1478 0.2500  8 Tm 3.31-3.41, 1 Y 3.64
Y: 0.3522 0.1478 0.7500  8 Tm 3.31-3.41, 1 Y 3.64
Y: 0.6478 0.8522 0.2500  8 Tm 3.31-3.41, 1 Y 3.64
Tm: 0.1524 0.3498 0.0000  1 Zr 3.30, 6 Y 3.31-3.41, 2 Tm 3.65
Tm: 0.8498 0.6524 0.5000  1 Zr 3.30, 6 Y 3.31-3.41, 2 Tm 3.65
Zr: 0.0000 0.0000 0.5000  2 Tm 2.87
Tm: 0.3498 0.8476 0.0000  1 Zr 3.30, 6 Y 3.31-3.41, 2 Tm 3.65
Tm: 0.1502 0.3476 0.5000  1 Zr 3.30, 6 Y 3.31-3.41, 2 Tm 3.65
Y: 0.1478 0.6478 0.7500  8 Tm 3.31-3.41, 1 Y 3.64
Tm: 0.5000 0.5000 0.3271  1 Zr 2.87, 1 Tm 3.03
Tm: 0.0000 0.0000 0.8271  1 Zr 2.87, 1 Tm 3.03
Y: 0.6478 0.8522 0.7500  8 Tm 3.31-3.41, 1 Y 3.64
Zr: 0.5000 0.5000 0.0000  2 Tm 2.87
Tm: 0.6524 0.1502 0.5000  1 Zr 3.30, 6 Y 3.31-3.41, 2 Tm 3.65
Tm: 0.5000 0.5000 0.6729  1 Zr 2.87, 1 Tm 3.03
Y: 0.1478 0.6478 0.2500  8 Tm 3.31-3.41, 1 Y 3.64

- Energy of formation: 0.14 eV per atom

***

Q: Which energy values were calculated for the entries above? A: -32.7, -18.1, -46.8, -75.5, -43.0, -119.3, in eV/cell.